No. 1
# SCAN ZnIn2Ru, single point on PBEsol structure
# V	67.2	Å³/cell
# SG	No. 119
# N(E_F)	0.391	states/eV per atom
# energy relative to the elements	0.2	eV/f.u.
data_ZnIn2Ru
_cell_length_a 3.9483
_cell_length_b 3.9483
_cell_length_c 5.1362
_cell_angle_alpha 112.60
_cell_angle_beta 112.60
_cell_angle_gamma 90.00
_space_group_name_H-M_alt 'P 1'
_space_group_IT_number 1
_space_group_name_Hall 'P 1'
loop_
_atom_site_label
_atom_site_fract_x
_atom_site_fract_y
_atom_site_fract_z
In1 0.7500 0.2500 0.5000
In2 0.0000 0.0000 0.0000
Ru1 0.5000 0.5000 0.0000
Zn1 0.2500 0.7500 0.5000

***

No. 2
# SCAN In2Ir, single point on PBEsol structure
# V	132.1	Å³/cell
# SG	No. 36
# N(E_F)	0.257	states/eV per atom
# energy relative to the elements	-0.6	eV/f.u.
data_In2Ir
_cell_length_a 3.0219
_cell_length_b 6.7333
_cell_length_c 6.6609
_cell_angle_alpha 90.00
_cell_angle_beta 90.00
_cell_angle_gamma 102.97
_space_group_name_H-M_alt 'P 1'
_space_group_IT_number 1
_space_group_name_Hall 'P 1'
loop_
_atom_site_label
_atom_site_fract_x
_atom_site_fract_y
_atom_site_fract_z
In1 0.2524 0.5048 0.8303
In2 0.7476 0.4952 0.3303
In3 0.4954 0.9907 0.2963
In4 0.5046 0.0093 0.7963
Ir1 0.8853 0.7706 0.0401
Ir2 0.1147 0.2294 0.5401

***

No. 3
# SCAN CaFe2Ag, single point on PBEsol structure
# V	72.5	Å³/cell
# SG	No. 123
# N(E_F)	0.937	states/eV per atom
# energy relative to the elements	2.1	eV/f.u.
data_CaFe2Ag
_cell_length_a 3.4190
_cell_length_b 3.4190
_cell_length_c 6.1992
_cell_angle_alpha 90.00
_cell_angle_beta 90.00
_cell_angle_gamma 90.00
_space_group_name_H-M_alt 'P 1'
_space_group_IT_number 1
_space_group_name_Hall 'P 1'
loop_
_atom_site_label
_atom_site_fract_x
_atom_site_fract_y
_atom_site_fract_z
Fe1 0.0000 0.0000 0.8230
Fe2 0.0000 0.0000 0.1770
Ca1 0.5000 0.5000 0.5000
Ag1 0.5000 0.5000 0.0000

***

No. 4
# SCAN Tl2PtPb, single point on PBEsol structure
# distance to the lowest polymorph of the same formula	0	meV/atom
# V	105.0	Å³/cell
# SG	No. 160
# N(E_F)	0.391	states/eV per atom
# energy relative to the elements	-0.3	eV/f.u.
data_Tl2PtPb
_cell_length_a 3.8998
_cell_length_b 3.8998
_cell_length_c 8.2834
_cell_angle_alpha 76.39
_cell_angle_beta 76.39
_cell_angle_gamma 60.00
_space_group_name_H-M_alt 'P 1'
_space_group_IT_number 1
_space_group_name_Hall 'P 1'
loop_
_atom_site_label
_atom_site_fract_x
_atom_site_fract_y
_atom_site_fract_z
Tl1 0.7444 0.7444 0.7667
Tl2 0.9817 0.9817 0.0548
Pb1 0.5155 0.5155 0.4535
Pt1 0.2475 0.2475 0.2575

***

No. 5
# SCAN Ni2OsRh, single point on PBEsol structure
# V	48.6	Å³/cell
# SG	No. 25
# N(E_F)	1.050	states/eV per atom
# energy relative to the elements	0.4	eV/f.u.
data_Ni2OsRh
_cell_length_a 2.6273
_cell_length_b 3.6602
_cell_length_c 5.0576
_cell_angle_alpha 90.00
_cell_angle_beta 90.00
_cell_angle_gamma 90.00
_space_group_name_H-M_alt 'P 1'
_space_group_IT_number 1
_space_group_name_Hall 'P 1'
loop_
_atom_site_label
_atom_site_fract_x
_atom_site_fract_y
_atom_site_fract_z
Ni1 0.4999 0.5000 0.2455
Ni2 0.0004 0.0000 0.0107
Os1 0.9999 0.0000 0.4952
Rh1 0.4998 0.5000 0.7486

***

No. 6
# SCAN CrTe2PtI, single point on PBEsol structure
# formation energy (no corrections)	0.425	eV/atom
# V	148.8	Å³/cell
# SG	No. 123
# N(E_F)	0.812	states/eV per atom
data_CrTe2PtI
_cell_length_a 5.2504
_cell_length_b 5.2504
_cell_length_c 5.3961
_cell_angle_alpha 90.00
_cell_angle_beta 90.00
_cell_angle_gamma 90.00
_space_group_name_H-M_alt 'P 1'
_space_group_IT_number 1
_space_group_name_Hall 'P 1'
loop_
_atom_site_label
_atom_site_fract_x
_atom_site_fract_y
_atom_site_fract_z
Te1 0.0000 0.5000 0.0000
Te2 0.5000 0.0000 0.0000
Cr1 0.5000 0.5000 0.5000
I1 0.0000 0.0000 0.5000
Pt1 0.0000 0.0000 0.0000